[1]
Entry from the Alexandria database: a relaxed TmInNi crystal (GGA-PBE).

The crystal system is hexagonal. The magnetic moment comes out at 0.0 μB per cell. For the total energy, the calculation gives -4.837 eV per atom. The calculation puts the volume at 19.75 A^3/atom. As for the symmetry: P-62m.

```
data_TmInNi
_symmetry_space_group_name_H-M 'P 1'
_symmetry_Int_Tables_number 1
_cell_length_a 3.7146
_cell_length_b 7.4341
_cell_length_c 7.4341
_cell_angle_alpha 120.00
_cell_angle_beta 90.00
_cell_angle_gamma 90.00
loop_
_symmetry_equiv_pos_as_xyz
'x,y,z'
loop_
_atom_site_label
_atom_site_type_symbol
_atom_site_fract_x
_atom_site_fract_y
_atom_site_fract_z
Tm1 Tm 0.5000 0.0000 0.5900
In1 In 0.0000 0.0000 0.2572
Ni1 Ni 0.0000 0.3333 0.6667
In2 In 0.0000 0.7428 0.7428
Tm2 Tm 0.5000 0.5900 0.0000
Ni2 Ni 0.0000 0.6667 0.3333
Ni3 Ni 0.5000 0.0000 0.0000
Tm3 Tm 0.5000 0.4099 0.4099
In3 In 0.0000 0.2572 0.0000
```

=====

[2]
Entry from the Alexandria database: a relaxed KHf3Be crystal (GGA-PBE).

The crystal system is cubic. The magnetic moment comes out at 0.0 μB per cell. For the total energy, the calculation gives -6.003 eV per atom. The calculation puts the volume at 23.85 A^3/atom. As for the energy above the lowest structure with this stoichiometry: 0 meV per atom. As for the symmetry: Pm-3m.

```
data_KHf3Be
_symmetry_space_group_name_H-M 'P 1'
_symmetry_Int_Tables_number 1
_cell_length_a 4.9223
_cell_length_b 4.9223
_cell_length_c 4.9223
_cell_angle_alpha 90.00
_cell_angle_beta 90.00
_cell_angle_gamma 90.00
loop_
_symmetry_equiv_pos_as_xyz
'x,y,z'
loop_
_atom_site_label
_atom_site_type_symbol
_atom_site_fract_x
_atom_site_fract_y
_atom_site_fract_z
Hf1 Hf 0.0000 0.0000 0.5000
K1 K 0.5000 0.5000 0.5000
Hf2 Hf 0.5000 0.0000 0.0000
Be1 Be 0.0000 0.0000 0.0000
Hf3 Hf 0.0000 0.5000 0.0000
```

=====

[3]
Entry from the Alexandria database: a relaxed FeRe3Os crystal (GGA-PBE).

The crystal system is cubic. The magnetic moment comes out at 0.0 μB per cell. For the total energy, the calculation gives -9.716 eV per atom. The calculation puts the volume at 16.37 A^3/atom. As for the energy above the lowest structure with this stoichiometry: 1334 meV per atom. As for the symmetry: Pm-3m.

```
data_FeRe3Os
_symmetry_space_group_name_H-M 'P 1'
_symmetry_Int_Tables_number 1
_cell_length_a 4.3420
_cell_length_b 4.3420
_cell_length_c 4.3420
_cell_angle_alpha 90.00
_cell_angle_beta 90.00
_cell_angle_gamma 90.00
loop_
_symmetry_equiv_pos_as_xyz
'x,y,z'
loop_
_atom_site_label
_atom_site_type_symbol
_atom_site_fract_x
_atom_site_fract_y
_atom_site_fract_z
Re1 Re 0.0000 0.0000 0.5000
Re2 Re 0.5000 0.0000 0.0000
Os1 Os 0.5000 0.5000 0.5000
Fe1 Fe 0.0000 0.0000 0.0000
Re3 Re 0.0000 0.5000 0.0000
```

=====

[4]
Entry from the Alexandria database: a relaxed KMg2CuCl6 crystal (GGA-PBE).

The crystal system is monoclinic. The energy relative to the elements, uncorrected comes out at -1.543 eV/atom. The magnetic moment comes out at 0.2 μB per cell. For the total energy, the calculation gives -3.489 eV per atom. The calculation puts the volume at 30.54 A^3/atom. As for the symmetry: C2/c.

```
data_KMg2CuCl6
_symmetry_space_group_name_H-M 'P 1'
_symmetry_Int_Tables_number 1
_cell_length_a 7.3874
_cell_length_b 9.4366
_cell_length_c 9.4366
_cell_angle_alpha 89.38
_cell_angle_beta 74.69
_cell_angle_gamma 74.69
loop_
_symmetry_equiv_pos_as_xyz
'x,y,z'
loop_
_atom_site_label
_atom_site_type_symbol
_atom_site_fract_x
_atom_site_fract_y
_atom_site_fract_z
Mg1 Mg 0.6837 0.2340 0.3928
Cl1 Cl 0.6936 0.7863 0.9620
Cl2 Cl 0.5537 0.1574 0.6287
Cl3 Cl 0.8064 0.0380 0.2137
K1 K 0.2500 0.8929 0.1071
Cl4 Cl 0.4570 0.4220 0.3115
Cl5 Cl 0.3064 0.2137 0.0380
Mg2 Mg 0.1837 0.3928 0.2340
Cl6 Cl 0.4463 0.8426 0.3713
Cl7 Cl 0.9570 0.3115 0.4220
Cl8 Cl 0.0430 0.6885 0.5780
K2 K 0.7500 0.1071 0.8929
Cl9 Cl 0.9463 0.3713 0.8426
Mg3 Mg 0.3163 0.7660 0.6072
Cl10 Cl 0.0537 0.6287 0.1574
Cl11 Cl 0.1936 0.9620 0.7863
Mg4 Mg 0.8163 0.6072 0.7660
Cu1 Cu 0.2500 0.2325 0.7675
Cu2 Cu 0.7500 0.7675 0.2325
Cl12 Cl 0.5430 0.5780 0.6885
```

=====

[5]
Entry from the Alexandria database: a relaxed Mn2ZnRh crystal (GGA-PBE).

The crystal system is tetragonal. The magnetic moment comes out at 7.8 μB per cell. For the total energy, the calculation gives -6.793 eV per atom. The calculation puts the volume at 14.16 A^3/atom. As for the symmetry: P4/mmm.

```
data_Mn2ZnRh
_symmetry_space_group_name_H-M 'P 1'
_symmetry_Int_Tables_number 1
_cell_length_a 3.9442
_cell_length_b 3.9376
_cell_length_c 3.6477
_cell_angle_alpha 90.00
_cell_angle_beta 90.00
_cell_angle_gamma 90.00
loop_
_symmetry_equiv_pos_as_xyz
'x,y,z'
loop_
_atom_site_label
_atom_site_type_symbol
_atom_site_fract_x
_atom_site_fract_y
_atom_site_fract_z
Zn1 Zn 0.0000 0.5000 0.5000
Rh1 Rh 0.5000 0.0000 0.5000
Mn1 Mn 0.0000 0.0000 0.0000
Mn2 Mn 0.5000 0.5000 0.0000
```

=====

[6]
Entry from the Alexandria database: a relaxed NaBe3N crystal (GGA-PBE).

The crystal system is cubic. The energy relative to the elements, uncorrected comes out at 0.531 eV/atom. The magnetic moment comes out at 0.0 μB per cell. For the total energy, the calculation gives -3.633 eV per atom. The calculation puts the volume at 10.39 A^3/atom. As for the energy above the lowest structure with this stoichiometry: 0 meV per atom. As for the symmetry: Pm-3m.

```
data_NaBe3N
_symmetry_space_group_name_H-M 'P 1'
_symmetry_Int_Tables_number 1
_cell_length_a 3.7311
_cell_length_b 3.7311
_cell_length_c 3.7311
_cell_angle_alpha 90.00
_cell_angle_beta 90.00
_cell_angle_gamma 90.00
loop_
_symmetry_equiv_pos_as_xyz
'x,y,z'
loop_
_atom_site_label
_atom_site_type_symbol
_atom_site_fract_x
_atom_site_fract_y
_atom_site_fract_z
Na1 Na 0.5000 0.5000 0.5000
Be1 Be 0.0000 0.0000 0.5000
Be2 Be 0.0000 0.5000 0.0000
N1 N 0.0000 0.0000 0.0000
Be3 Be 0.5000 0.0000 0.0000
```

=====

[7]
Entry from the Alexandria database: a relaxed Cr2MoRu crystal (GGA-PBE).

The crystal system is trigonal. The magnetic moment comes out at 0.0 μB per cell. For the total energy, the calculation gives -9.550 eV per atom. The calculation puts the volume at 13.60 A^3/atom. As for the symmetry: R3m.

```
data_Cr2MoRu
_symmetry_space_group_name_H-M 'P 1'
_symmetry_Int_Tables_number 1
_cell_length_a 8.4603
_cell_length_b 8.4603
_cell_length_c 8.4603
_cell_angle_alpha 18.70
_cell_angle_beta 18.70
_cell_angle_gamma 18.70
loop_
_symmetry_equiv_pos_as_xyz
'x,y,z'
loop_
_atom_site_label
_atom_site_type_symbol
_atom_site_fract_x
_atom_site_fract_y
_atom_site_fract_z
Cr1 Cr 0.9937 0.9937 0.9937
Ru1 Ru 0.7447 0.7447 0.7447
Cr2 Cr 0.2596 0.2596 0.2596
Mo1 Mo 0.5021 0.5021 0.5021
```

=====

[8]
Entry from the Alexandria database: a relaxed Al3InSe crystal (GGA-PBE).

The crystal system is cubic. The energy relative to the elements, uncorrected comes out at 0.651 eV/atom. The magnetic moment comes out at 0.0 μB per cell. For the total energy, the calculation gives -2.839 eV per atom. The calculation puts the volume at 27.98 A^3/atom. As for the energy above the lowest structure with this stoichiometry: 147 meV per atom. As for the symmetry: Pm-3m.

```
data_Al3InSe
_symmetry_space_group_name_H-M 'P 1'
_symmetry_Int_Tables_number 1
_cell_length_a 5.1914
_cell_length_b 5.1914
_cell_length_c 5.1914
_cell_angle_alpha 90.00
_cell_angle_beta 90.00
_cell_angle_gamma 90.00
loop_
_symmetry_equiv_pos_as_xyz
'x,y,z'
loop_
_atom_site_label
_atom_site_type_symbol
_atom_site_fract_x
_atom_site_fract_y
_atom_site_fract_z
Se1 Se 0.5000 0.5000 0.5000
In1 In 0.0000 0.0000 0.0000
Al1 Al 0.0000 0.5000 0.0000
Al2 Al 0.0000 0.0000 0.5000
Al3 Al 0.5000 0.0000 0.0000
```